Record 1
Computed, not measured: an optimized crystal structure of MgAg3 at the GGA-PBEsol level of DFT.

abc: 4.5843 4.5843 4.5843
angles: 60.00 60.00 60.00
Closest atoms and distances in Å follow each position.
Fractional coordinates of all 4 atoms:
Mg  0.5000  0.5000  0.5000  8 Ag 2.81
Ag  0.2500  0.2500  0.2500  4 Ag 2.81, 4 Mg 2.81
Ag  0.7500  0.7500  0.7500  4 Mg 2.81, 4 Ag 2.81
Ag  0.0000  0.0000  0.0000  8 Ag 2.81

Values from the calculation:
N(E_F) = 0.86 states/eV/f.u.
offset from the most stable computed form = 31 meV per atom

***

Record 2
Computed, not measured: an optimized crystal structure of BaEuFe2O5 at the GGA-PBEsol level of DFT.

abc: 3.8704 3.8704 7.4019
angles: 90.00 90.00 90.00
Closest atoms and distances in Å follow each position.
Fractional coordinates of all 9 atoms:
Ba  0.0000  0.0000  0.9999  12 O 2.74-2.90
Eu  0.0000  0.0000  0.4999  8 O 2.47
Fe  0.5000  0.5000  0.2658  5 O 1.95-1.97
Fe  0.5000  0.5000  0.7341  5 O 1.95-1.97
O  0.5000  0.0000  0.7075  2 Fe 1.95
O  0.5000  0.0000  0.2924  2 Fe 1.95
O  0.0000  0.5000  0.7075  2 Fe 1.95
O  0.0000  0.5000  0.2924  2 Fe 1.95
O  0.5000  0.5000  0.9999  2 Fe 1.97

Values from the calculation:
N(E_F) = 11.38 states/eV/f.u.
E_form (uncorrected) = -2.07 eV/atom

***

Record 3
Computed, not measured: an optimized crystal structure of LaBTe2N at the GGA-PBEsol level of DFT.

abc: 2.8566 6.1028 6.1028
angles: 90.00 90.00 90.00
Closest atoms and distances in Å follow each position.
Fractional coordinates of all 5 atoms:
N  0.5000  0.0000  0.0000  2 B 1.43
Te  0.0000  0.0000  0.5000  2 Te 2.86, 2 B 3.05
Te  0.0000  0.5000  0.0000  2 Te 2.86, 2 B 3.05
B  0.0000  0.0000  0.0000  2 N 1.43
La  0.5000  0.5000  0.5000  2 La 2.86

Values from the calculation:
N(E_F) = 2.18 states/eV/f.u.
E_form (uncorrected) = -0.30 eV/atom

***

Record 4
Computed, not measured: an optimized crystal structure of LuSbRh2 at the GGA-PBEsol level of DFT.

abc: 4.5846 4.5846 4.5846
angles: 60.00 60.00 60.00
Closest atoms and distances in Å follow each position.
Fractional coordinates of all 4 atoms:
Sb  0.0000  0.0000  0.0000  8 Rh 2.81
Lu  0.5000  0.5000  0.5000  8 Rh 2.81
Rh  0.2500  0.2500  0.2500  4 Lu 2.81, 4 Sb 2.81
Rh  0.7500  0.7500  0.7500  4 Lu 2.81, 4 Sb 2.81

Values from the calculation:
N(E_F) = 4.68 states/eV/f.u.
E_form (uncorrected) = -0.78 eV/atom

***

Record 5
Computed, not measured: an optimized crystal structure of BaY2MnCl at the GGA-PBEsol level of DFT.

abc: 5.1338 5.1338 5.7371
angles: 90.00 90.00 90.00
Closest atoms and distances in Å follow each position.
Fractional coordinates of all 5 atoms:
Y  0.0000  0.5000  0.0000  2 Cl 2.57
Y  0.5000  0.0000  0.0000  2 Cl 2.57
Mn  0.5000  0.5000  0.5000  4 Ba 3.63, 8 Y 3.85
Ba  0.0000  0.0000  0.5000  2 Cl 2.87
Cl  0.0000  0.0000  0.0000  4 Y 2.57, 2 Ba 2.87

Values from the calculation:
N(E_F) = 6.32 states/eV/f.u.
E_form (uncorrected) = -0.01 eV/atom

***

Record 6
Computed, not measured: an optimized crystal structure of LaCeIn6 at the GGA-PBEsol level of DFT.

abc: 4.6502 4.6502 9.3054
angles: 90.00 90.00 90.00
Closest atoms and distances in Å follow each position.
Fractional coordinates of all 8 atoms:
La  0.0000  0.0000  0.5000  12 In 3.29-3.32
Ce  0.0000  0.0000  0.0000  12 In 3.26-3.29
In  0.5000  0.5000  0.0000  8 In 3.26, 4 Ce 3.29
In  0.5000  0.5000  0.5000  4 La 3.29, 8 In 3.32
In  0.5000  0.0000  0.2456  8 In 3.26-3.32, 2 Ce 3.26, 2 La 3.32
In  0.5000  0.0000  0.7544  8 In 3.26-3.32, 2 Ce 3.26, 2 La 3.32
In  0.0000  0.5000  0.2456  2 Ce 3.26, 8 In 3.26-3.32, 2 La 3.32
In  0.0000  0.5000  0.7544  8 In 3.26-3.32, 2 Ce 3.26, 2 La 3.32

Values from the calculation:
N(E_F) = 7.38 states/eV/f.u.
E_tot = -4.2063 eV/atom

***

Record 7
Computed, not measured: an optimized crystal structure of Rh3Au at the GGA-PBEsol level of DFT.

abc: 2.7377 4.6992 4.6992
angles: 109.01 90.00 90.00
Closest atoms and distances in Å follow each position.
Fractional coordinates of all 4 atoms:
Au  0.0000  0.0000  0.0000  10 Rh 2.72-2.73, 2 Au 2.74
Rh  0.5000  0.0000  0.5000  8 Rh 2.72-2.74, 4 Au 2.72
Rh  0.5000  0.5000  0.0000  4 Au 2.72, 8 Rh 2.72-2.74
Rh  0.0000  0.5000  0.5000  10 Rh 2.72-2.74, 2 Au 2.73

Values from the calculation:
N(E_F) = 6.99 states/eV/f.u.
E_tot = -6.9032 eV/atom

***

Record 8
Computed, not measured: an optimized crystal structure of YCr2Cu2 at the GGA-PBEsol level of DFT.

abc: 3.4604 3.4604 6.6241
angles: 105.14 105.14 90.00
Closest atoms and distances in Å follow each position.
Fractional coordinates of all 5 atoms:
Y  0.0000  0.0000  0.0000  8 Cu 2.75
Cr  0.2500  0.7500  0.5000  4 Cr 2.45, 4 Cu 2.51
Cr  0.7500  0.2500  0.5000  4 Cr 2.45, 4 Cu 2.51
Cu  0.3972  0.3972  0.7945  4 Cr 2.51, 1 Cu 2.53, 4 Y 2.75
Cu  0.6028  0.6028  0.2055  4 Cr 2.51, 1 Cu 2.53, 4 Y 2.75

Values from the calculation:
N(E_F) = 7.05 states/eV/f.u.
E_tot = -6.8609 eV/atom

***

Record 9
Computed, not measured: an optimized crystal structure of HfCd2Ag at the GGA-PBEsol level of DFT.

abc: 4.7499 4.7499 4.7499
angles: 60.00 60.00 60.00
Closest atoms and distances in Å follow each position.
Fractional coordinates of all 4 atoms:
Hf  0.5000  0.5000  0.5000  8 Cd 2.91
Ag  0.0000  0.0000  0.0000  8 Cd 2.91
Cd  0.2500  0.2500  0.2500  4 Hf 2.91, 4 Ag 2.91
Cd  0.7500  0.7500  0.7500  4 Hf 2.91, 4 Ag 2.91

Values from the calculation:
N(E_F) = 1.74 states/eV/f.u.
E_tot = -4.0021 eV/atom

***

Record 10
Computed, not measured: an optimized crystal structure of RbHO at the GGA-PBEsol level of DFT.

abc: 3.9487 6.3797 7.9129
angles: 90.00 90.00 90.00
Closest atoms and distances in Å follow each position.
Fractional coordinates of all 12 atoms:
H  0.7500  0.5626  0.9581  1 O 0.98
H  0.2500  0.9374  0.4581  1 O 0.98
H  0.7500  0.0626  0.5419  1 O 0.98
H  0.2500  0.4374  0.0419  1 O 0.98
O  0.2500  0.2919  0.0807  1 H 0.98
O  0.7500  0.2081  0.5807  1 H 0.98
O  0.2500  0.7919  0.4193  1 H 0.98
O  0.7500  0.7081  0.9193  1 H 0.98
Rb  0.2500  0.4912  0.6918  3 H 2.79-2.92, 5 O 2.82-3.01
Rb  0.7500  0.0088  0.1918  3 H 2.79-2.92, 5 O 2.82-3.01
Rb  0.2500  0.9912  0.8082  3 H 2.79-2.92, 5 O 2.82-3.01
Rb  0.7500  0.5088  0.3082  3 H 2.79-2.92, 5 O 2.82-3.01

Values from the calculation:
N(E_F) = 0.00 states/eV/f.u.
E_tot = -4.4394 eV/atom

***

Record 11
Computed, not measured: an optimized crystal structure of KRbMn3 at the GGA-PBEsol level of DFT.

abc: 5.8196 5.8196 5.8196
angles: 90.00 90.00 90.00
Closest atoms and distances in Å follow each position.
Fractional coordinates of all 5 atoms:
K  0.0000  0.0000  0.0000  6 Mn 2.91
Mn  0.0000  0.5000  0.0000  2 K 2.91
Mn  0.0000  0.0000  0.5000  2 K 2.91
Mn  0.5000  0.0000  0.0000  2 K 2.91
Rb  0.5000  0.5000  0.5000  12 Mn 4.12

Values from the calculation:
N(E_F) = 9.11 states/eV/f.u.
E_tot = -4.1927 eV/atom

***

Record 12
Computed, not measured: an optimized crystal structure of Ba3AlCr at the GGA-PBEsol level of DFT.

abc: 6.4160 6.4160 6.4160
angles: 90.00 90.00 90.00
Closest atoms and distances in Å follow each position.
Fractional coordinates of all 5 atoms:
Cr  0.5000  0.5000  0.5000  12 Ba 4.54
Ba  0.0000  0.5000  0.0000  2 Al 3.21
Ba  0.0000  0.0000  0.5000  2 Al 3.21
Ba  0.5000  0.0000  0.0000  2 Al 3.21
Al  0.0000  0.0000  0.0000  6 Ba 3.21

Values from the calculation:
N(E_F) = 7.10 states/eV/f.u.
E_tot = -3.3829 eV/atom

***

Record 13
Computed, not measured: an optimized crystal structure of Al2SiBr at the GGA-PBEsol level of DFT.

abc: 3.0120 4.9407 4.9831
angles: 90.00 90.00 90.00
Closest atoms and distances in Å follow each position.
Fractional coordinates of all 4 atoms:
Si  0.0000  0.5000  0.5000  4 Al 2.89, 4 Br 2.91, 2 Si 3.01
Al  0.0000  0.0000  0.0000  4 Br 2.89, 6 Al 2.91-3.01
Al  0.5000  0.0000  0.5000  4 Si 2.89, 6 Al 2.91-3.01
Br  0.5000  0.5000  0.0000  4 Al 2.89, 4 Si 2.91, 2 Br 3.01

Values from the calculation:
N(E_F) = 1.53 states/eV/f.u.
offset from the most stable computed form = 195 meV per atom
E_form (uncorrected) = 0.29 eV/atom